(1)
Sc2OsCl | meta-GGA SCAN | single point on PBEsol structure

Its crystal system is tetragonal. The value obtained for the total energy is -28.100 eV/atom. The uncorrected formation energy comes out at -1.017 eV per atom. The energy above the lowest structure with this stoichiometry comes out at 124 meV per atom. The density of states at the Fermi level comes out at 1.47 states/eV/f.u.

POSCAR file:
```
Sc2OsCl
1.0
3.137 0.000 0.000
0.000 3.137 0.000
0.000 0.000 7.431
Cl Os Sc
1 1 2
Direct
0.500 0.500 0.000 Cl
0.500 0.500 0.500 Os
0.000 0.000 0.712 Sc
0.000 0.000 0.288 Sc
```

=====

(2)
TeOs2Pt | meta-GGA SCAN | single point on PBEsol structure

Its crystal system is orthorhombic. The value obtained for the total energy is -62.084 eV/atom. The uncorrected formation energy comes out at 0.717 eV per atom. The density of states at the Fermi level comes out at 2.65 states/eV/f.u.

POSCAR file:
```
TeOs2Pt
1.0
2.968 0.000 0.000
0.000 4.664 0.004
0.000 -1.045 4.545
Te Os Pt
1 2 1
Direct
0.500 0.500 0.500 Te
0.000 0.000 0.500 Os
0.000 0.500 0.000 Os
0.500 0.000 0.000 Pt
```

=====

(3)
PmTlAg2 | meta-GGA SCAN | single point on PBEsol structure

Its crystal system is cubic. The value obtained for the total energy is -45.081 eV/atom. The value obtained for the formation energy is -0.311 eV/atom. The density of states at the Fermi level comes out at 1.17 states/eV/f.u.

POSCAR file:
```
PmTlAg2
1.0
4.953 0.000 0.000
2.476 4.289 0.000
2.476 1.430 4.044
Pm Ag Tl
1 2 1
Direct
0.500 0.500 0.500 Pm
0.750 0.750 0.750 Ag
0.250 0.250 0.250 Ag
0.000 0.000 0.000 Tl
```

=====

(4)
Zr2OsCl | meta-GGA SCAN | single point on PBEsol structure

Its crystal system is cubic. The value obtained for the total energy is -34.790 eV/atom. The uncorrected formation energy comes out at 0.524 eV per atom. The energy above the lowest structure with this stoichiometry comes out at 1223 meV per atom. The density of states at the Fermi level comes out at 3.98 states/eV/f.u.

POSCAR file:
```
Zr2OsCl
1.0
4.644 0.000 0.000
2.322 4.022 0.000
2.322 1.341 3.792
Cl Zr Os
1 2 1
Direct
0.500 0.500 0.500 Cl
0.750 0.750 0.750 Zr
0.000 0.000 0.000 Zr
0.250 0.250 0.250 Os
```

=====

(5)
CdInHg2 | meta-GGA SCAN | single point on PBEsol structure

Its crystal system is orthorhombic. The value obtained for the total energy is -49.977 eV/atom. The value obtained for the formation energy is 0.056 eV/atom. The density of states at the Fermi level comes out at 1.35 states/eV/f.u.

POSCAR file:
```
CdInHg2
1.0
3.195 -0.066 0.000
-1.299 2.920 0.000
0.000 0.000 10.165
Hg Cd In
2 1 1
Direct
0.500 0.500 0.756 Hg
0.000 0.000 0.002 Hg
0.500 0.500 0.243 Cd
0.000 0.000 0.500 In
```

=====

(6)
AlHg8 | meta-GGA SCAN | single point on PBEsol structure

Its crystal system is tetragonal. The value obtained for the total energy is -61.349 eV/atom. The value obtained for the formation energy is 0.104 eV/atom. The density of states at the Fermi level comes out at 2.22 states/eV/f.u.

POSCAR file:
```
AlHg8
1.0
4.225 0.000 0.000
2.113 6.915 0.000
2.113 0.000 6.915
Hg Al
8 1
Direct
0.337 0.326 0.000 Hg
0.669 0.331 0.331 Hg
0.331 0.669 0.669 Hg
0.000 0.331 0.669 Hg
0.663 0.674 0.000 Hg
0.663 0.000 0.674 Hg
0.000 0.669 0.331 Hg
0.337 0.000 0.326 Hg
0.000 0.000 0.000 Al
```

=====

(7)
MnOsPb2Au | meta-GGA SCAN | single point on PBEsol structure

Its crystal system is tetragonal. The value obtained for the total energy is -60.745 eV/atom. The value obtained for the formation energy is 1.426 eV/atom. The density of states at the Fermi level comes out at 3.66 states/eV/f.u.

POSCAR file:
```
MnOsPb2Au
1.0
4.821 0.000 0.000
0.000 5.238 0.000
0.000 0.000 5.238
Pb Os Mn Au
2 1 1 1
Direct
0.000 0.500 0.000 Pb
0.000 0.000 0.500 Pb
0.500 0.500 0.500 Os
0.500 0.000 0.000 Mn
0.000 0.000 0.000 Au
```

=====

(8)
NiIr2SeN | meta-GGA SCAN | single point on PBEsol structure

Its crystal system is tetragonal. The value obtained for the total energy is -36.491 eV/atom. The uncorrected formation energy comes out at 1.057 eV per atom. The density of states at the Fermi level comes out at 3.63 states/eV/f.u.

POSCAR file:
```
NiIr2SeN
1.0
3.878 0.000 0.000
0.000 3.878 0.000
0.000 0.000 4.715
Ir N Ni Se
2 1 1 1
Direct
0.000 0.500 0.000 Ir
0.500 0.000 0.000 Ir
0.000 0.000 0.000 N
0.500 0.500 0.500 Ni
0.000 0.000 0.500 Se
```

=====

(9)
PtAu3 | meta-GGA SCAN | single point on PBEsol structure

Its crystal system is orthorhombic. The value obtained for the total energy is -69.340 eV/atom. The value obtained for the formation energy is 0.076 eV/atom. The density of states at the Fermi level comes out at 1.24 states/eV/f.u.

POSCAR file:
```
PtAu3
1.0
-1.967 1.176 4.175
-1.604 -4.556 0.527
4.824 -1.391 2.665
Au Pt
6 2
Direct
0.000 0.170 0.750 Au
0.500 0.830 0.250 Au
0.500 0.830 0.750 Au
0.000 0.664 0.500 Au
0.000 0.170 0.250 Au
0.500 0.336 0.000 Au
0.500 0.328 0.500 Pt
0.000 0.672 0.000 Pt
```

=====

(10)
LiNi2P2O8 | meta-GGA SCAN | single point on PBEsol structure

Its crystal system is monoclinic. The value obtained for the total energy is -10.184 eV/atom. The uncorrected formation energy comes out at -2.078 eV per atom. The energy above the lowest structure with this stoichiometry comes out at 0 meV per atom. The density of states at the Fermi level comes out at 3.35 states/eV/f.u.

POSCAR file:
```
LiNi2P2O8
1.0
-2.777 2.721 -2.553
-4.401 -2.283 2.637
0.506 6.972 6.881
O Li P Ni
16 2 4 4
Direct
0.065 0.005 0.799 O
0.504 0.996 0.141 O
0.435 0.495 0.689 O
0.004 0.496 0.847 O
0.978 0.220 0.071 O
0.987 0.793 0.075 O
0.478 0.720 0.916 O
0.013 0.207 0.575 O
0.022 0.780 0.571 O
0.522 0.280 0.416 O
0.996 0.504 0.347 O
0.513 0.707 0.412 O
0.935 0.995 0.299 O
0.565 0.505 0.189 O
0.487 0.293 0.912 O
0.496 0.004 0.641 O
0.250 0.750 0.244 Li
0.750 0.250 0.744 Li
0.670 0.492 0.337 P
0.830 0.008 0.151 P
0.170 0.992 0.651 P
0.330 0.508 0.837 P
0.231 0.493 0.514 Ni
0.731 0.993 0.474 Ni
0.769 0.507 0.014 Ni
0.269 0.007 0.974 Ni
```

=====

(11)
Li2Cu | meta-GGA SCAN | single point on PBEsol structure

Its crystal system is monoclinic. The value obtained for the total energy is -6.648 eV/atom. The value obtained for the formation energy is 0.012 eV/atom. The density of states at the Fermi level comes out at 0.94 states/eV/f.u.

POSCAR file:
```
Li2Cu
1.0
2.610 0.000 0.000
-1.305 5.102 0.040
0.000 -1.687 6.195
Li Cu
4 2
Direct
0.681 0.362 0.130 Li
0.625 0.249 0.530 Li
0.319 0.638 0.870 Li
0.375 0.751 0.470 Li
0.972 0.944 0.184 Cu
0.028 0.056 0.816 Cu
```

=====

(12)
CsRb2AsI6 | meta-GGA SCAN | single point on PBEsol structure

Its crystal system is cubic. The value obtained for the total energy is -32.974 eV/atom. The uncorrected formation energy comes out at -0.981 eV per atom. The density of states at the Fermi level comes out at 0.00 states/eV/f.u.

POSCAR file:
```
CsRb2AsI6
1.0
-7.953 2.045 -3.483
-7.325 -4.242 2.813
-6.046 4.330 4.926
I As Cs Rb
6 1 1 2
Direct
0.224 0.776 0.224 I
0.224 0.776 0.776 I
0.776 0.224 0.224 I
0.776 0.224 0.776 I
0.776 0.776 0.224 I
0.224 0.224 0.776 I
0.000 0.000 0.000 As
0.500 0.500 0.500 Cs
0.250 0.250 0.250 Rb
0.750 0.750 0.750 Rb
```